# GdSi2Rh2

GdSi2Rh2 at its PBEsol-relaxed geometry (meta-GGA SCAN, Alexandria via LeMat-Bulk).

```
GdSi2Rh2
1.0
-2.0088 2.0088 4.9787
2.0088 -2.0088 4.9787
2.0088 2.0088 -4.9787
Gd Si Rh
1 2 2
Cartesian
0.0000 0.0000 0.0000
0.0000 0.0000 3.7616
0.0000 0.0000 6.1957
2.0088 0.0000 2.4893
0.0000 2.0088 2.4893
```

Raw formation energy   -27.8 kcal/mol of atoms
E   -30.49 eV/atom
DOS(E_F)   1.632 states/eV/cell
Space group   I4/mmm, No. 139